Here is a geometry-optimized SmEuInAg structure from Alexandria. Energies are from PBE.

Unit cell a=5.415 b=5.415 c=5.415 alpha=60.00 beta=60.00 gamma=60.00
Site moments in Bohr magnetons follow the coordinates.
Element x y z (fractional)
Eu 0.000 0.000 0.000  6.80
Ag 0.250 0.250 0.250  0.00
Sm 0.500 0.500 0.500  -0.02
In 0.750 0.750 0.750  -0.02

The value obtained for the magnetization is 1.7321 μB/atom. As for the formation energy: -0.356 eV/atom. Its space group is F-43m, No. 216.